1.
An optimized crystal structure of Mg2SO6. Source: Alexandria via LeMat-Bulk, functional PBE.

Structure (POSCAR):
```
Mg2SO6
1.0
-3.0984 -3.2063 0.7189
2.1747 -1.2601 3.7523
-4.7936 5.6832 4.6867
Mg S O
4 2 12
Cartesian
-2.0575 -0.3414 3.7957
-3.6598 1.5582 5.3623
-0.8011 0.9498 0.7833
-3.9925 4.7334 3.9034
-0.4619 -2.2332 2.2356
-2.3968 2.8416 2.3434
-1.2833 -2.2570 3.6788
-4.7655 1.8714 7.0833
-3.0847 -0.4846 5.6732
-1.8079 -2.7300 1.4613
-3.8936 -0.7930 2.9653
-5.2050 0.7619 4.2475
-0.5123 0.4550 4.9104
-1.8238 2.0098 6.1927
0.8842 -1.7364 3.0100
-2.6326 1.7015 3.4848
-0.9519 -0.6546 2.0747
-4.4341 3.4738 5.4792
```

As for the magnetization: 3.81 μB/cell. As for the crystal system: tetragonal. For the calculated volume, the calculation gives 179.3 Å³ per cell. As for the formation energy from raw total energies: -1.41 eV per atom.



2.
An optimized crystal structure of Mg2SO. Source: Alexandria via LeMat-Bulk, functional PBE.

Structure (POSCAR):
```
Mg2SO
1.0
2.5641 1.1420 3.1873
1.6572 3.9093 0.0957
-1.3346 2.8018 2.8994
S Mg O
1 2 1
Cartesian
1.4434 3.9266 3.0912
0.7217 1.9633 1.5456
2.1650 5.8898 4.6368
0.0000 0.0000 0.0000
```

As for the magnetization: 0.00 μB/cell. As for the crystal system: cubic. For the calculated volume, the calculation gives 54.2 Å³ per cell. As for the formation energy from raw total energies: -1.18 eV per atom.



3.
An optimized crystal structure of MgS2O. Source: Alexandria via LeMat-Bulk, functional PBE.

Structure (POSCAR):
```
MgS2O
1.0
2.3031 0.0000 5.7488
-1.1516 1.9946 5.7488
-1.1516 -1.9946 5.7488
S Mg O
2 1 1
Cartesian
0.0000 0.0000 15.5776
0.0000 0.0000 1.6688
0.0000 0.0000 8.6232
0.0000 0.0000 0.0000
```

As for the magnetization: 0.00 μB/cell. As for the crystal system: trigonal. For the calculated volume, the calculation gives 79.2 Å³ per cell. As for the formation energy from raw total energies: -0.35 eV per atom.



4.
An optimized crystal structure of Mg2S2O7. Source: Alexandria via LeMat-Bulk, functional PBE.

Structure (POSCAR):
```
Mg2S2O7
1.0
-3.5124 0.2627 4.7027
-1.4653 -5.5892 -0.1952
9.4855 1.4505 2.7163
Mg S O
4 4 14
Cartesian
2.4006 -3.3321 2.8910
-1.5288 -3.3648 1.1431
6.0367 -0.5113 6.0807
2.1073 -0.5439 4.3327
0.9580 -0.9201 1.2610
5.4108 -0.0432 2.9571
-0.9028 -3.8328 4.2667
3.5499 -2.9560 5.9628
-0.9737 -3.0799 5.5247
-0.0614 -2.0228 0.7511
1.4497 -1.4984 2.6411
0.0607 0.3874 4.5789
5.8697 1.4436 5.7710
3.9853 0.0973 3.4419
6.1809 -0.8424 3.9997
-1.6730 -3.0337 3.2241
0.5226 -3.9733 3.7819
-1.3618 -5.3196 1.4528
4.4472 -4.2635 2.6449
3.0582 -2.3776 4.5826
4.5693 -1.8532 6.4726
5.4816 -0.7961 1.6990
```

As for the magnetization: 0.00 μB/cell. As for the crystal system: triclinic. For the calculated volume, the calculation gives 292.2 Å³ per cell. As for the formation energy from raw total energies: -1.86 eV per atom.



5.
An optimized crystal structure of MgS2O. Source: Alexandria via LeMat-Bulk, functional PBE.

Structure (POSCAR):
```
MgS2O
1.0
0.0000 3.1079 3.1079
3.1079 0.0000 3.1079
3.1079 3.1079 0.0000
S Mg O
2 1 1
Cartesian
1.5539 1.5539 1.5539
4.6618 4.6618 4.6618
3.1079 3.1079 3.1079
0.0000 0.0000 0.0000
```

As for the magnetization: 1.95 μB/cell. As for the crystal system: cubic. For the calculated volume, the calculation gives 60.0 Å³ per cell. As for the formation energy from raw total energies: 0.35 eV per atom.



6.
An optimized crystal structure of Mg2SO. Source: Alexandria via LeMat-Bulk, functional PBE.

Structure (POSCAR):
```
Mg2SO
1.0
3.3152 0.0000 0.0000
1.6576 2.8711 0.0000
1.6576 0.9570 5.9052
Mg S O
2 1 1
Cartesian
1.6576 0.9570 4.2697
1.6576 0.9570 1.5980
4.9728 2.8710 5.8843
3.3152 1.9140 3.0111
```

As for the magnetization: 0.00 μB/cell. As for the crystal system: trigonal. For the calculated volume, the calculation gives 56.2 Å³ per cell. As for the formation energy from raw total energies: -1.65 eV per atom.



7.
An optimized crystal structure of MgS2O. Source: Alexandria via LeMat-Bulk, functional PBE.

Structure (POSCAR):
```
MgS2O
1.0
5.0369 0.0000 0.0000
0.0000 5.0369 0.0000
2.5184 2.5184 5.8722
S Mg O
4 2 2
Cartesian
3.3050 1.2592 1.4680
1.7318 3.7776 1.4680
3.7776 4.2502 4.4041
6.2961 5.8235 4.4041
0.0000 0.0000 0.0000
5.0369 2.5184 2.9361
2.5184 2.5184 0.0000
2.5184 5.0369 2.9361
```

As for the magnetization: 0.00 μB/cell. As for the crystal system: tetragonal. For the calculated volume, the calculation gives 149.0 Å³ per cell. As for the formation energy from raw total energies: -0.07 eV per atom.



8.
An optimized crystal structure of Mg3SO. Source: Alexandria via LeMat-Bulk, functional PBE.

Structure (POSCAR):
```
Mg3SO
1.0
-2.5450 0.7110 -3.4823
-2.7304 -3.1330 1.3558
-2.2753 2.9644 2.2681
S Mg O
1 3 1
Cartesian
-3.7753 0.2712 0.0708
-1.3652 -1.5665 0.6779
-1.1376 1.4822 1.1341
-1.2725 0.3555 -1.7412
0.0000 0.0000 0.0000
```

As for the magnetization: 0.00 μB/cell. As for the crystal system: cubic. For the calculated volume, the calculation gives 83.5 Å³ per cell. As for the formation energy from raw total energies: -1.00 eV per atom.



9.
An optimized crystal structure of Mg2SO. Source: Alexandria via LeMat-Bulk, functional PBE.

Structure (POSCAR):
```
Mg2SO
1.0
3.3644 0.0000 0.0000
1.6822 2.9137 0.0000
1.6822 0.9712 5.5459
S Mg O
1 2 1
Cartesian
3.3644 1.9424 2.7729
1.6822 0.9712 1.1958
5.0466 2.9137 4.3501
0.0000 0.0000 0.0000
```

As for the magnetization: 0.00 μB/cell. As for the crystal system: trigonal. For the calculated volume, the calculation gives 54.4 Å³ per cell. As for the formation energy from raw total energies: -1.85 eV per atom.



10.
An optimized crystal structure of MgSO3. Source: Alexandria via LeMat-Bulk, functional PBE.

Structure (POSCAR):
```
MgSO3
1.0
-1.9224 3.2926 0.2431
-3.1501 -1.7450 -1.2757
-0.9884 -0.8423 3.5929
S Mg O
1 1 3
Cartesian
-3.0304 0.3526 1.2802
0.0000 0.0000 0.0000
-1.5751 -0.8725 -0.6378
-0.4942 -0.4212 1.7965
-0.9612 1.6463 0.1215
```

As for the magnetization: 1.45 μB/cell. As for the crystal system: cubic. For the calculated volume, the calculation gives 55.8 Å³ per cell. As for the formation energy from raw total energies: 0.10 eV per atom.



11.
An optimized crystal structure of Mg2SO2. Source: Alexandria via LeMat-Bulk, functional PBE.

Structure (POSCAR):
```
Mg2SO2
1.0
-0.2628 3.3694 -5.4756
-5.0586 -3.4906 -1.9052
-1.7345 1.8476 1.2202
S Mg O
2 4 4
Cartesian
0.0000 0.0000 0.0000
-2.6607 -0.0606 -3.6904
-4.3859 -1.7876 -3.5277
-3.5168 0.5875 -5.8886
-0.9355 1.6664 -3.8531
-1.8046 -0.7087 -1.4921
-4.1657 -0.8390 -1.4094
-5.3640 0.1095 -4.5490
-2.8902 2.5654 -4.7512
-1.6919 1.6169 -1.6116
```

As for the magnetization: 0.00 μB/cell. As for the crystal system: tetragonal. For the calculated volume, the calculation gives 116.5 Å³ per cell. As for the formation energy from raw total energies: -1.11 eV per atom.



12.
An optimized crystal structure of Mg2SO. Source: Alexandria via LeMat-Bulk, functional PBE.

Structure (POSCAR):
```
Mg2SO
1.0
-2.7891 -1.1927 2.6631
2.4552 -0.0075 2.5685
-1.6812 7.5700 1.6297
Mg S O
4 2 2
Cartesian
-1.5242 1.1784 3.2202
-0.9691 4.2063 5.1580
-0.6040 3.9146 2.3502
-0.0497 6.9411 4.2869
1.0921 1.8050 3.1820
-2.6631 6.3145 4.3279
0.3867 4.9771 3.8647
-1.9598 3.1428 3.6446
```

As for the magnetization: 0.00 μB/cell. As for the crystal system: orthorhombic. For the calculated volume, the calculation gives 113.6 Å³ per cell. As for the formation energy from raw total energies: -2.01 eV per atom.



13.
An optimized crystal structure of MgSO4. Source: Alexandria via LeMat-Bulk, functional PBE.

Structure (POSCAR):
```
MgSO4
1.0
4.8191 0.0000 0.0000
0.0000 6.7922 0.0000
0.0000 0.0000 8.6737
Mg S O
4 4 16
Cartesian
0.0000 0.0000 0.0000
2.4096 0.0000 4.3368
0.0000 3.3961 0.0000
2.4096 3.3961 4.3368
4.6917 5.0941 2.7923
2.2821 1.6980 1.5446
0.1274 1.6980 5.8814
2.5370 5.0941 7.1291
1.1194 5.0941 7.6102
3.5289 1.6980 5.4003
3.6997 1.6980 1.0635
1.2902 5.0941 3.2734
2.5887 5.0941 5.6172
0.1791 1.6980 7.3933
2.2304 1.6980 3.0564
4.6400 5.0941 1.2804
4.0201 6.3184 3.2518
1.6105 0.4737 1.0850
0.7990 2.9224 5.4219
3.2086 3.8698 7.5887
0.7990 0.4737 5.4219
3.2086 6.3184 7.5887
4.0201 3.8698 3.2518
1.6105 2.9224 1.0850
```

As for the magnetization: 0.00 μB/cell. As for the crystal system: orthorhombic. For the calculated volume, the calculation gives 283.9 Å³ per cell. As for the formation energy from raw total energies: -1.94 eV per atom.



14.
An optimized crystal structure of MgSO3. Source: Alexandria via LeMat-Bulk, functional PBE.

Structure (POSCAR):
```
MgSO3
1.0
-3.6967 -3.6124 -2.3187
2.4483 -3.8879 2.1537
-2.2527 4.4191 10.5382
Mg S O
4 4 12
Cartesian
-2.7838 -4.4809 1.0397
-0.2207 -4.5511 3.9770
-0.7172 1.3998 9.3335
-3.2804 1.4699 6.3963
-0.1385 -3.0881 1.5714
-1.1980 0.8900 3.9795
-3.3626 0.0070 8.8019
-2.3031 -3.9712 6.3938
-0.1611 -0.4762 8.4826
-2.5391 1.2856 8.3885
-3.3399 -2.6050 1.8907
-0.9620 -4.3667 1.9848
-2.3138 -2.5797 7.1331
-4.0828 -0.2237 7.4195
-1.1873 -0.5014 3.2401
0.5818 -2.8575 2.9538
-1.7040 -3.7111 5.0338
-2.1793 -3.9252 -0.7901
-1.7970 0.6300 5.3395
-1.3217 0.8441 11.1634
```

As for the magnetization: 0.00 μB/cell. As for the crystal system: orthorhombic. For the calculated volume, the calculation gives 292.6 Å³ per cell. As for the formation energy from raw total energies: -1.84 eV per atom.



15.
An optimized crystal structure of MgSO3. Source: Alexandria via LeMat-Bulk, functional PBE.

Structure (POSCAR):
```
MgSO3
1.0
-4.6007 -3.0133 -5.5432
-0.1003 -4.6620 6.2633
-2.6428 7.0717 1.9949
Mg S O
6 6 18
Cartesian
-3.7378 -4.8081 2.0165
-1.5076 -1.9676 5.0025
-4.1183 -2.9956 -2.2879
-3.2255 2.3920 5.0029
-5.8362 1.3641 -2.2874
-3.6060 4.2045 0.6985
-1.7706 -2.0454 1.6444
-5.3913 -2.1533 0.7634
-4.3854 -0.5501 3.8408
-2.9584 -0.0535 -1.1258
-1.9525 1.5498 1.9516
-5.5732 1.4418 1.0706
-1.7334 -4.0263 4.6991
-4.1162 -5.4936 0.0754
-2.0792 -3.5168 2.0222
-5.1169 -3.1319 1.9431
-1.1013 -1.4711 2.9276
-3.3776 -1.0108 4.9248
-5.2143 -3.0412 -0.4948
-2.3307 1.0799 6.3663
-2.7181 -1.5542 -1.4643
-4.6257 0.9506 4.1793
-5.0131 -1.6835 -3.6513
-2.1295 2.4376 3.2098
-3.9662 0.4072 -2.2097
-6.2425 0.8675 -0.2126
-2.2269 2.5284 0.7720
-5.2646 2.9132 0.6928
-3.2276 4.8900 2.6396
-5.6104 3.4227 -1.9841
```

As for the magnetization: 0.00 μB/cell. As for the crystal system: trigonal. For the calculated volume, the calculation gives 368.1 Å³ per cell. As for the formation energy from raw total energies: -1.87 eV per atom.



16.
An optimized crystal structure of MgSO3. Source: Alexandria via LeMat-Bulk, functional PBE.

Structure (POSCAR):
```
MgSO3
1.0
3.6982 0.0000 0.0000
0.0000 3.6982 0.0000
0.0000 0.0000 3.6982
S Mg O
1 1 3
Cartesian
0.0000 0.0000 0.0000
1.8491 1.8491 1.8491
0.0000 1.8491 0.0000
0.0000 0.0000 1.8491
1.8491 0.0000 0.0000
```

As for the magnetization: 0.00 μB/cell. As for the crystal system: cubic. For the calculated volume, the calculation gives 50.6 Å³ per cell. As for the formation energy from raw total energies: -0.75 eV per atom.



17.
An optimized crystal structure of Mg2SO. Source: Alexandria via LeMat-Bulk, functional PBE.

Structure (POSCAR):
```
Mg2SO
1.0
5.2198 0.0000 0.0000
0.0000 5.2198 0.0000
2.6099 2.6099 4.8329
S Mg O
2 4 2
Cartesian
0.0000 0.0000 0.0000
5.2198 2.6099 2.4165
3.5494 1.3049 1.2082
1.6704 3.9148 1.2082
3.9148 4.2803 3.6247
6.5247 6.1593 3.6247
2.6099 2.6099 0.0000
2.6099 5.2198 2.4165
```

As for the magnetization: 0.00 μB/cell. As for the crystal system: tetragonal. For the calculated volume, the calculation gives 131.7 Å³ per cell. As for the formation energy from raw total energies: -1.95 eV per atom.



18.
An optimized crystal structure of Mg2S2O7. Source: Alexandria via LeMat-Bulk, functional PBE.

Structure (POSCAR):
```
Mg2S2O7
1.0
4.6953 -0.2687 -0.3504
-1.1940 5.4098 0.3007
-1.1940 -1.1124 5.3027
Mg S O
2 2 7
Cartesian
1.1537 0.7509 3.5955
1.1537 3.2778 1.6575
-1.3154 3.3505 4.3687
3.6228 0.6782 0.8843
-0.4490 2.2121 4.9273
2.7563 -0.1565 1.8389
2.7563 1.8166 0.3257
-0.4490 4.1852 3.4141
-0.0162 1.6377 2.1355
0.0000 0.0000 0.0000
2.3235 2.3909 3.1176
```

As for the magnetization: 0.00 μB/cell. As for the crystal system: monoclinic. For the calculated volume, the calculation gives 131.9 Å³ per cell. As for the formation energy from raw total energies: -1.60 eV per atom.



19.
An optimized crystal structure of Mg4S3O. Source: Alexandria via LeMat-Bulk, functional PBE.

Structure (POSCAR):
```
Mg4S3O
1.0
6.1158 0.0000 0.0000
0.0000 6.7020 0.0000
0.0000 0.0000 7.7052
Mg S O
8 6 2
Cartesian
0.6474 5.9343 0.0000
4.1195 1.1921 0.0000
0.6418 2.1169 1.6946
3.6997 4.5851 2.1580
1.0616 5.5098 3.8526
3.7053 0.7677 3.8526
3.6997 4.5851 5.5472
0.6418 2.1169 6.0106
3.1097 5.6793 0.0000
0.0424 4.4979 1.8969
3.1004 2.2041 1.9557
0.0518 1.0227 3.8526
3.1004 2.2041 5.7496
0.0424 4.4979 5.8083
0.0221 1.1665 0.0000
3.0800 5.5355 3.8526
```

As for the magnetization: 0.00 μB/cell. As for the crystal system: orthorhombic. For the calculated volume, the calculation gives 315.8 Å³ per cell. As for the formation energy from raw total energies: -1.69 eV per atom.



20.
An optimized crystal structure of MgSO4. Source: Alexandria via LeMat-Bulk, functional PBE.

Structure (POSCAR):
```
MgSO4
1.0
-1.5074 0.4905 -4.9520
-2.5848 -3.6911 0.4212
-3.1076 2.5639 3.3970
Mg S O
2 2 8
Cartesian
0.0000 0.0000 0.0000
-2.0461 -1.6003 -2.2654
-2.3075 1.5272 -0.7775
-2.8462 -0.5636 1.9091
-3.7080 -1.4249 -3.4840
-3.7442 1.7491 -0.2074
-2.0381 0.1994 0.1847
-4.2791 -0.8973 1.1365
-3.4918 0.7881 2.3502
-3.4556 -2.3858 -0.9263
-5.1617 -0.8362 -1.3185
-2.9207 0.2605 -2.2703
```

As for the magnetization: 0.00 μB/cell. As for the crystal system: monoclinic. For the calculated volume, the calculation gives 113.8 Å³ per cell. As for the formation energy from raw total energies: -1.30 eV per atom.



21.
An optimized crystal structure of Mg2SO2. Source: Alexandria via LeMat-Bulk, functional PBE.

Structure (POSCAR):
```
Mg2SO2
1.0
-1.7874 -0.5759 2.8565
1.7518 -2.8902 0.5135
4.1074 1.3358 4.8849
S Mg O
1 2 2
Cartesian
0.0000 0.0000 0.0000
1.2932 -0.7578 2.7019
2.7786 -1.3725 5.5530
1.1511 -0.4865 4.7132
2.9207 -1.6437 3.5417
```

As for the magnetization: 1.00 μB/cell. As for the crystal system: tetragonal. For the calculated volume, the calculation gives 70.8 Å³ per cell. As for the formation energy from raw total energies: -1.28 eV per atom.



22.
An optimized crystal structure of MgS2O6. Source: Alexandria via LeMat-Bulk, functional PBE.

Structure (POSCAR):
```
MgS2O6
1.0
3.2177 0.0000 0.0000
-1.6088 4.7290 0.5982
0.0000 -0.4728 7.9833
Mg S O
1 2 6
Cartesian
0.0000 -0.2364 3.9917
1.6088 1.5006 6.2936
0.0000 2.7557 2.2879
1.6088 2.9222 5.9338
1.6088 3.0718 1.6355
0.0000 1.1845 6.9460
1.6088 0.6487 5.0226
0.0000 3.6075 3.5590
0.0000 1.3341 2.6478
```

As for the magnetization: 0.45 μB/cell. As for the crystal system: monoclinic. For the calculated volume, the calculation gives 122.4 Å³ per cell. As for the formation energy from raw total energies: -1.33 eV per atom.